Record 1
# Dy8As3SeS4, relaxed, DFT PBE-GGA
# E_form (uncorrected): -41.96 kcal/mol of atoms
# Energy: -6.24 eV/atom
# Theoretical density: 7.9 g cm⁻³
data_Dy8As3SeS4
_symmetry_space_group_name_H-M 'R -3 m'
_symmetry_Int_Tables_number 166
_symmetry_space_group_name_Hall '-R 3 2"'
_cell_length_a 8.0370
_cell_length_b 8.0370
_cell_length_c 19.5586
_cell_angle_alpha 90.00
_cell_angle_beta 90.00
_cell_angle_gamma 120.00
loop_
_atom_site_label
_atom_site_type_symbol
_atom_site_fract_x
_atom_site_fract_y
_atom_site_fract_z
_atom_site_occupancy
Dy1 Dy 0.0000 0.0000 0.2490 1
Dy2 Dy 0.0069 0.5034 0.2472 1
As1 As 0.0000 0.5000 0.0000 1
Se1 Se 0.0000 0.0000 0.0000 1
S1 S 0.0000 0.0000 0.5000 1
S2 S 0.0000 0.5000 0.5000 1

---

Record 2
# Dy4AsSe2S, relaxed, DFT PBE-GGA
# E_form (uncorrected): -41.38 kcal/mol of atoms
# Energy: -6.06 eV/atom
# Theoretical density: 8.1 g cm⁻³
data_Dy4AsSe2S
_symmetry_space_group_name_H-M 'P 1 2/m 1'
_symmetry_Int_Tables_number 10
_symmetry_space_group_name_Hall '-P 2y'
_cell_length_a 6.969
_cell_length_b 4.033
_cell_length_c 7.078
_cell_angle_alpha 90.00
_cell_angle_beta 109.20
_cell_angle_gamma 90.00
loop_
_atom_site_label
_atom_site_type_symbol
_atom_site_fract_x
_atom_site_fract_y
_atom_site_fract_z
_atom_site_occupancy
Dy1 Dy 0.238 0.000 0.229 1
Dy2 Dy 0.250 0.500 0.766 1
As1 As 0.500 0.000 0.000 1
Se1 Se 0.000 0.000 0.500 1
Se2 Se 0.500 0.500 0.500 1
S1 S 0.000 0.500 0.000 1

---

Record 3
# Dy8As4Se3S, relaxed, DFT PBE-GGA
# E_form (uncorrected): -39.78 kcal/mol of atoms
# Energy: -6.10 eV/atom
# Theoretical density: 8.1 g cm⁻³
data_Dy8As4Se3S
_symmetry_space_group_name_H-M 'R -3 m'
_symmetry_Int_Tables_number 166
_symmetry_space_group_name_Hall '-R 3 2"'
_cell_length_a 8.1646
_cell_length_b 8.1646
_cell_length_c 20.0024
_cell_angle_alpha 90.00
_cell_angle_beta 90.00
_cell_angle_gamma 120.00
loop_
_atom_site_label
_atom_site_type_symbol
_atom_site_fract_x
_atom_site_fract_y
_atom_site_fract_z
_atom_site_occupancy
Dy1 Dy 0.0000 0.0000 0.2461 1
Dy2 Dy 0.0049 0.5025 0.7526 1
As1 As 0.0000 0.0000 0.5000 1
As2 As 0.0000 0.5000 0.5000 1
Se1 Se 0.0000 0.5000 0.0000 1
S1 S 0.0000 0.0000 0.0000 1

---

Record 4
# Dy3AsSeS, relaxed, DFT PBE-GGA
# E_form (uncorrected): -32.67 kcal/mol of atoms
# Energy: -5.76 eV/atom
# Theoretical density: 7.3 g cm⁻³
data_Dy3AsSeS
_symmetry_space_group_name_H-M 'C 1 2/c 1'
_symmetry_Int_Tables_number 15
_symmetry_space_group_name_Hall '-C 2yc'
_cell_length_a 6.766
_cell_length_b 14.216
_cell_length_c 6.720
_cell_angle_alpha 90.00
_cell_angle_beta 109.61
_cell_angle_gamma 90.00
loop_
_atom_site_label
_atom_site_type_symbol
_atom_site_fract_x
_atom_site_fract_y
_atom_site_fract_z
_atom_site_occupancy
Dy1 Dy 0.000 0.245 0.250 1
Dy2 Dy 0.248 0.077 0.001 1
As1 As 0.000 0.435 0.250 1
Se1 Se 0.000 0.250 0.750 1
S1 S 0.000 0.057 0.250 1

---

Record 5
# Dy4AsSeS2, relaxed, DFT PBE-GGA
# E_form (uncorrected): -42.50 kcal/mol of atoms
# Energy: -6.19 eV/atom
# Theoretical density: 7.9 g cm⁻³
data_Dy4AsSeS2
_symmetry_space_group_name_H-M 'P 1 2/m 1'
_symmetry_Int_Tables_number 10
_symmetry_space_group_name_Hall '-P 2y'
_cell_length_a 6.931
_cell_length_b 3.995
_cell_length_c 6.948
_cell_angle_alpha 90.00
_cell_angle_beta 109.28
_cell_angle_gamma 90.00
loop_
_atom_site_label
_atom_site_type_symbol
_atom_site_fract_x
_atom_site_fract_y
_atom_site_fract_z
_atom_site_occupancy
Dy1 Dy 0.233 0.000 0.236 1
Dy2 Dy 0.240 0.500 0.755 1
As1 As 0.500 0.000 0.000 1
Se1 Se 0.500 0.500 0.500 1
S1 S 0.000 0.000 0.500 1
S2 S 0.000 0.500 0.000 1

---

Record 6
# Dy8AsSe4S3, relaxed, DFT PBE-GGA
# E_form (uncorrected): -42.42 kcal/mol of atoms
# Energy: -6.08 eV/atom
# Theoretical density: 8.1 g cm⁻³
data_Dy8AsSe4S3
_symmetry_space_group_name_H-M 'R -3 m'
_symmetry_Int_Tables_number 166
_symmetry_space_group_name_Hall '-R 3 2"'
_cell_length_a 8.0027
_cell_length_b 8.0027
_cell_length_c 19.9271
_cell_angle_alpha 90.00
_cell_angle_beta 90.00
_cell_angle_gamma 120.00
loop_
_atom_site_label
_atom_site_type_symbol
_atom_site_fract_x
_atom_site_fract_y
_atom_site_fract_z
_atom_site_occupancy
Dy1 Dy 0.0000 0.0000 0.2409 1
Dy2 Dy 0.0068 0.5034 0.7574 1
As1 As 0.0000 0.0000 0.5000 1
Se1 Se 0.0000 0.0000 0.0000 1
Se2 Se 0.0000 0.5000 0.0000 1
S1 S 0.0000 0.5000 0.5000 1

---

Record 7
# Dy6As3Se2S, relaxed, DFT PBE-GGA
# E_form (uncorrected): -39.95 kcal/mol of atoms
# Energy: -6.12 eV/atom
# Theoretical density: 8.0 g cm⁻³
data_Dy6As3Se2S
_symmetry_space_group_name_H-M 'C 1 2/m 1'
_symmetry_Int_Tables_number 12
_symmetry_space_group_name_Hall '-C 2y'
_cell_length_a 17.770
_cell_length_b 4.076
_cell_length_c 8.144
_cell_angle_alpha 90.00
_cell_angle_beta 103.25
_cell_angle_gamma 90.00
loop_
_atom_site_label
_atom_site_type_symbol
_atom_site_fract_x
_atom_site_fract_y
_atom_site_fract_z
_atom_site_occupancy
Dy1 Dy 0.003 0.000 0.253 1
Dy2 Dy 0.164 0.500 0.090 1
Dy3 Dy 0.165 0.500 0.575 1
As1 As 0.000 0.500 0.000 1
As2 As 0.168 0.000 0.335 1
Se1 Se 0.166 0.000 0.834 1
S1 S 0.000 0.500 0.500 1

---

Record 8
# Dy6Si2AsS3, relaxed, DFT PBE-GGA
# E_form (uncorrected): -35.26 kcal/mol of atoms
# Energy: -6.15 eV/atom
# Theoretical density: 7.2 g cm⁻³
data_Dy6Si2AsS3
_symmetry_space_group_name_H-M 'C 1 2/m 1'
_symmetry_Int_Tables_number 12
_symmetry_space_group_name_Hall '-C 2y'
_cell_length_a 17.549
_cell_length_b 4.034
_cell_length_c 8.061
_cell_angle_alpha 90.00
_cell_angle_beta 102.99
_cell_angle_gamma 90.00
loop_
_atom_site_label
_atom_site_type_symbol
_atom_site_fract_x
_atom_site_fract_y
_atom_site_fract_z
_atom_site_occupancy
Dy1 Dy 0.002 0.000 0.252 1
Dy2 Dy 0.167 0.500 0.088 1
Dy3 Dy 0.167 0.500 0.582 1
Si1 Si 0.167 0.000 0.334 1
As1 As 0.000 0.500 0.000 1
S1 S 0.000 0.500 0.500 1
S2 S 0.165 0.000 0.834 1